A plane-wave DFT calculation with PBE+U was carried out for a relaxed structure of NaFeO2.

Lattice parameters (Å, degrees): 5.8053 7.2306 5.4672 90.00 90.00 90.00
With the nearest neighbours (Å) after each atom.
Positions (direct):
Na  0.0785  0.1226  0.0000  4 O 2.32-2.37
Na  0.4215  0.6226  0.5000  4 O 2.32-2.37
Na  0.5785  0.3774  0.0000  4 O 2.32-2.37
Na  0.9215  0.8774  0.5000  4 O 2.32-2.37
Fe  0.0693  0.6268  0.0111  4 O 1.91-1.92
Fe  0.4307  0.1268  0.5111  4 O 1.91-1.92
Fe  0.5693  0.8732  0.0111  4 O 1.91-1.92
Fe  0.9307  0.3732  0.5111  4 O 1.91-1.92
O  0.0450  0.5913  0.3572  2 Fe 1.91-1.92
O  0.1112  0.1598  0.4296  2 Fe 1.92
O  0.3888  0.6598  0.9296  2 Fe 1.92
O  0.4550  0.0913  0.8572  2 Fe 1.91-1.92
O  0.5450  0.9087  0.3572  2 Fe 1.91-1.92
O  0.6112  0.3402  0.4296  2 Fe 1.92
O  0.8888  0.8402  0.9296  2 Fe 1.92
O  0.9550  0.4087  0.8572  2 Fe 1.91-1.92

Computed properties:
- Magnetization: 20.0 μB per cell
- Density of states at the Fermi level: 0.00 states/eV per atom
- E: -92.2 eV/cell